No. 1
Er2PdAu after structural relaxation, computed with PBE-GGA.

Values from the calculation:
The total magnetization comes out at 0.00 μB per formula unit. The formation energy comes out at -0.732 eV per atom.

```
data_Er2PdAu
_chemical_formula_sum 'Er6 Pd3 Au3'
_cell_length_a 3.9475
_cell_length_b 3.9475
_cell_length_c 21.8188
_cell_angle_alpha 90.00
_cell_angle_beta 90.00
_cell_angle_gamma 120.00
_space_group_name_H-M_alt 'R 3 m'
_space_group_IT_number 160
_space_group_name_Hall 'R 3 -2"'
loop_
_atom_site_label
_atom_site_type_symbol
_atom_site_fract_x
_atom_site_fract_y
_atom_site_fract_z
_atom_site_occupancy
Er1 Er 0.0000 0.0000 0.0000 1
Er2 Er 0.0000 0.0000 0.1618 1
Pd1 Pd 0.0000 0.0000 0.4158 1
Au1 Au 0.0000 0.0000 0.5812 1
```

***

No. 2
ErPd8Au6 after structural relaxation, computed with PBE-GGA.

Values from the calculation:
The total magnetization comes out at 0.00 μB per formula unit. The formation energy comes out at -0.129 eV per atom.

```
data_ErPd8Au6
_chemical_formula_sum 'Er1 Pd8 Au6'
_cell_length_a 7.6869
_cell_length_b 7.6869
_cell_length_c 5.2339
_cell_angle_alpha 90.00
_cell_angle_beta 90.00
_cell_angle_gamma 120.00
_space_group_name_H-M_alt 'P -3'
_space_group_IT_number 147
_space_group_name_Hall '-P 3'
loop_
_atom_site_label
_atom_site_type_symbol
_atom_site_fract_x
_atom_site_fract_y
_atom_site_fract_z
_atom_site_occupancy
Er1 Er 0.0000 0.0000 0.0000 1
Pd1 Pd 0.0482 0.2903 0.6696 1
Pd2 Pd 0.3333 0.6667 0.7266 1
Au1 Au 0.1025 0.4497 0.1793 1
```

***

No. 3
ErPd2Au2 after structural relaxation, computed with PBE-GGA.

Values from the calculation:
The value obtained for the energy above the most stable polymorph in this dataset is 341 meV per atom. The total magnetization comes out at 0.00 μB per formula unit. The formation energy comes out at -0.253 eV per atom.

```
data_ErPd2Au2
_chemical_formula_sum 'Er2 Pd4 Au4'
_cell_length_a 5.0547
_cell_length_b 5.0547
_cell_length_c 8.4491
_cell_angle_alpha 90.00
_cell_angle_beta 90.00
_cell_angle_gamma 90.00
_space_group_name_H-M_alt 'I 4/m m m'
_space_group_IT_number 139
_space_group_name_Hall '-I 4 2'
loop_
_atom_site_label
_atom_site_type_symbol
_atom_site_fract_x
_atom_site_fract_y
_atom_site_fract_z
_atom_site_occupancy
Er1 Er 0.0000 0.0000 0.0000 1
Pd1 Pd 0.0000 0.5000 0.2500 1
Au1 Au 0.0000 0.0000 0.3453 1
```

***

No. 4
ErPd2Au4 after structural relaxation, computed with PBE-GGA.

Values from the calculation:
The value obtained for the energy above the most stable polymorph in this dataset is 0 meV per atom. The total magnetization comes out at 0.00 μB per formula unit. The formation energy comes out at -0.448 eV per atom.

```
data_ErPd2Au4
_chemical_formula_sum 'Er2 Pd4 Au8'
_cell_length_a 5.4149
_cell_length_b 9.8632
_cell_length_c 5.6124
_cell_angle_alpha 90.00
_cell_angle_beta 118.66
_cell_angle_gamma 90.00
_space_group_name_H-M_alt 'C 1 2/m 1'
_space_group_IT_number 12
_space_group_name_Hall '-C 2y'
loop_
_atom_site_label
_atom_site_type_symbol
_atom_site_fract_x
_atom_site_fract_y
_atom_site_fract_z
_atom_site_occupancy
Er1 Er 0.0000 0.0000 0.0000 1
Pd1 Pd 0.0000 0.2497 0.5000 1
Au1 Au 0.0000 0.2995 0.0000 1
Au2 Au 0.2006 0.5000 0.4010 1
```